Entry one
Below is crystalline La4DyHg at its relaxed geometry, with properties calculated at the GGA-PBE level.

a b c (Å): 5.4537 5.4559 7.6693
angles (deg): 89.98 89.99 90.00
Element x y z (fractional)
Dy: 0.5013 0.4974 0.9982
Hg: 0.0013 0.9973 0.4981
La: 0.5013 0.9969 0.2556
La: 0.5014 0.9977 0.7406
La: 0.0014 0.4974 0.7405
La: 0.0011 0.4971 0.2558

Space-group type   P4/mmm (123)


Entry two
Below is crystalline La4DyHg at its relaxed geometry, with properties calculated at the GGA-PBE level.

a b c (Å): 3.7685 3.7685 14.1604
angles (deg): 90.00 90.00 90.00
Element x y z (fractional)
Hg: 0.5000 0.5000 0.5000
La: 0.0000 0.0000 0.3537
La: 0.5000 0.5000 0.8260
La: 0.5000 0.5000 0.1740
La: 0.0000 0.0000 0.6463
Dy: 0.0000 0.0000 0.0000

Space-group type   P4/mmm (123)


Most stable = entry two


Entry one
Below is crystalline La3DyHg2 at its relaxed geometry, with properties calculated at the GGA-PBE level.

a b c (Å): 7.5324 7.6362 9.2770
angles (deg): 114.30 113.95 90.00
Element x y z (fractional)
La: 0.5000 0.7500 0.0000
La: 0.7716 0.5216 0.5432
La: 0.7716 0.0216 0.5432
La: 0.2284 0.4784 0.4568
La: 0.2284 0.9784 0.4568
La: 0.5000 0.2500 0.0000
Hg: 0.5736 0.3646 0.7292
Hg: 0.8444 0.1354 0.2708
Hg: 0.1556 0.8646 0.7292
Hg: 0.4264 0.6354 0.2708
Dy: 0.0000 0.0000 0.0000
Dy: 0.0000 0.5000 0.0000

Space-group type   Ibam (72)


Entry two
Below is crystalline La3DyHg2 at its relaxed geometry, with properties calculated at the GGA-PBE level.

a b c (Å): 5.4070 7.0523 9.7856
angles (deg): 90.00 90.00 90.00
Element x y z (fractional)
Hg: 0.0000 0.7747 0.3532
Hg: 0.5000 0.2269 0.1555
Hg: 0.0000 0.2747 0.6468
Hg: 0.5000 0.7269 0.8445
La: 0.5000 0.1866 0.8240
La: 0.0000 0.3092 0.3292
La: 0.5000 0.6866 0.1760
La: 0.0000 0.9914 0.0557
La: 0.0000 0.8092 0.6708
La: 0.0000 0.4914 0.9443
Dy: 0.5000 0.0113 0.4504
Dy: 0.5000 0.5113 0.5496

Space-group type   Pmc2_1 (26)


Most stable = entry two


Entry one
Below is crystalline LaDy4Hg2 at its relaxed geometry, with properties calculated at the GGA-PBE level.

a b c (Å): 3.5495 9.0808 13.9587
angles (deg): 96.01 82.70 78.73
Each line ends with the local moment (μB).
Element x y z (fractional)
La: 0.1018 0.9383 0.8581  0.10
La: 0.8982 0.0617 0.1419  0.10
Dy: 0.6213 0.4099 0.3474  0.00
Dy: 0.2728 0.0707 0.3838  0.00
Dy: 0.1527 0.6711 0.0234  0.02
Dy: 0.7272 0.9293 0.6162  0.00
Dy: 0.0093 0.2582 0.7233  0.00
Dy: 0.8473 0.3289 0.9766  0.02
Dy: 0.3787 0.5901 0.6526  0.00
Dy: 0.9907 0.7418 0.2767  0.00
Hg: 0.7833 0.5952 0.8383  0.00
Hg: 0.4004 0.7403 0.4588  0.00
Hg: 0.2167 0.4048 0.1617  0.00
Hg: 0.5996 0.2597 0.5412  0.00

Space-group type   C2/m (12)


Entry two
Below is crystalline LaDy4Hg2 at its relaxed geometry, with properties calculated at the GGA-PBE level.

a b c (Å): 5.0343 5.0343 10.8281
angles (deg): 76.56 76.56 60.00
Element x y z (fractional)
Dy: 0.7026 0.7026 0.8923
Dy: 0.1053 0.1053 0.6840
Dy: 0.2974 0.2974 0.1077
Dy: 0.8947 0.8947 0.3160
Hg: 0.3976 0.3976 0.8073
Hg: 0.6024 0.6024 0.1927
La: 0.5000 0.5000 0.5000

Space-group type   R-3m (166)


Most stable = entry one